Below is a relaxed CuAgTe crystal, with properties calculated at the PBE-GGA level.

Crystal system: tetragonal
Space group: I4mm (107)
Distance to the lowest polymorph of the same formula, eV per formula unit: 0.93
Raw formation energy, eV/f.u.: 0.84

abc: 6.712 6.712 6.712
angles: 153.19 153.19 38.28
Sites, in units of the cell vectors:
Ag  0.970  0.970  0.000
Cu  0.343  0.343  0.000
Te  0.687  0.687  0.000